No. 1
# LiCd2In, relaxed, DFT GGA-PBE
# - DFT formation energy: -31 kJ/mol of formula units
# - Total DFT energy (no corrections): -1.6997 eV per atom
data_LiCd2In
_symmetry_space_group_name_H-M 'R 3 m'
_symmetry_Int_Tables_number 160
_symmetry_space_group_name_Hall 'R 3 -2"'
_cell_length_a 3.2592
_cell_length_b 3.2592
_cell_length_c 29.2571
_cell_angle_alpha 90.00
_cell_angle_beta 90.00
_cell_angle_gamma 120.00
loop_
_atom_site_label
_atom_site_type_symbol
_atom_site_fract_x
_atom_site_fract_y
_atom_site_fract_z
_atom_site_occupancy
Li1 Li 0.0000 0.0000 0.0000 1
Cd1 Cd 0.0000 0.0000 0.4094 1
Cd2 Cd 0.0000 0.0000 0.5901 1
In1 In 0.0000 0.0000 0.1662 1

---

No. 2
# NbSiS3, relaxed, DFT GGA-PBE
# - Total DFT energy (no corrections): -5.4857 eV per atom
data_NbSiS3
_symmetry_space_group_name_H-M 'P m -3 m'
_symmetry_Int_Tables_number 221
_symmetry_space_group_name_Hall '-P 4 2 3'
_cell_length_a 4.790
_cell_length_b 4.790
_cell_length_c 4.790
_cell_angle_alpha 90.00
_cell_angle_beta 90.00
_cell_angle_gamma 90.00
loop_
_atom_site_label
_atom_site_type_symbol
_atom_site_fract_x
_atom_site_fract_y
_atom_site_fract_z
_atom_site_occupancy
Nb1 Nb 0.000 0.000 0.000 1
Si1 Si 0.500 0.500 0.500 1
S1 S 0.000 0.000 0.500 1

---

No. 3
# RhWS2Cl, relaxed, DFT GGA-PBE
# - Total DFT energy (no corrections): -5.0516 eV per atom
data_RhWS2Cl
_symmetry_space_group_name_H-M 'P 4/m m m'
_symmetry_Int_Tables_number 123
_symmetry_space_group_name_Hall '-P 4 2'
_cell_length_a 4.674
_cell_length_b 4.674
_cell_length_c 4.530
_cell_angle_alpha 90.00
_cell_angle_beta 90.00
_cell_angle_gamma 90.00
loop_
_atom_site_label
_atom_site_type_symbol
_atom_site_fract_x
_atom_site_fract_y
_atom_site_fract_z
_atom_site_occupancy
Rh1 Rh 0.000 0.000 0.000 1
W1 W 0.500 0.500 0.500 1
S1 S 0.000 0.500 0.000 1
Cl1 Cl 0.000 0.000 0.500 1

---

| no. | density (g/cm3) |
| --- | --- |
| 1 | 6.4 |
| 2 | 3.3 |
| 3 | 6.5 |